LiHgRh2, relaxed, DFT PBE; space-group type = I4/mmm (139); formation enthalpy at 0 K = 0.023 eV/atom; Fermi-level density of states = 5.7 states/eV/f.u.
1.0
-0.516 -0.834 4.922
-3.919 -2.883 1.234
3.776 -0.349 -3.289
Rh Hg Li
2 1 1
Cartesian
-2.218 -1.858 3.078 Rh
0.000 0.000 0.000 Rh
-1.180 -2.545 0.512 Hg
0.521 -1.521 2.356 Li

=====

LiHgRh2, relaxed, DFT PBE; space-group type = P4mm (99); formation enthalpy at 0 K = 0.009 eV/atom; Fermi-level density of states = 4.0 states/eV/f.u.
1.0
3.133 0.000 0.000
0.000 3.133 0.000
0.000 0.000 6.277
Rh Li Hg
2 1 1
Cartesian
1.566 1.566 1.363 Rh
0.000 0.000 6.263 Rh
1.566 1.566 4.816 Li
0.000 0.000 3.250 Hg

=====

LiHgRuRh2, relaxed, DFT PBE; space-group type = P4/mmm (123); formation enthalpy at 0 K = 0.794 eV/atom; Fermi-level density of states = 5.5 states/eV/f.u.
1.0
-1.848 -0.999 -3.646
3.794 -0.246 -1.855
0.227 -4.080 1.003
Ru Rh Hg Li
1 2 1 1
Cartesian
1.897 -0.123 -0.928 Ru
-0.924 -0.500 -1.823 Rh
0.113 -2.040 0.502 Rh
1.087 -2.662 -2.249 Hg
0.000 0.000 0.000 Li

=====

LiHgSbRh, relaxed, DFT PBE; space-group type = F-43m (216); Fermi-level density of states = 1.9 states/eV/f.u.; formation energy from raw total energies = -0.271 eV/atom
1.0
4.661 0.000 0.000
2.330 4.036 0.000
2.330 1.345 3.805
Sb Rh Hg Li
1 1 1 1
Cartesian
6.991 4.036 2.854 Sb
4.661 2.691 1.903 Rh
2.330 1.345 0.951 Hg
0.000 0.000 0.000 Li

=====

Li2HgRhSe, relaxed, DFT PBE; space-group type = P4/mmm (123); Fermi-level density of states = 3.0 states/eV/f.u.; formation energy from raw total energies = 0.298 eV/atom
1.0
-0.893 -3.033 -3.502
4.468 1.054 -2.053
1.972 -3.476 2.508
Rh Li Se Hg
1 2 1 1
Cartesian
2.234 0.527 -1.026 Rh
0.986 -1.738 1.254 Li
-0.447 -1.517 -1.751 Li
2.774 -2.728 -1.523 Se
0.000 0.000 0.000 Hg

=====

Sr2LiHgRh, relaxed, DFT PBE; space-group type = P4/mmm (123); energy relative to the lowest polymorph listed for this composition = 0 meV/atom; formation enthalpy at 0 K = -0.163 eV/atom; Fermi-level density of states = 3.2 states/eV/f.u.
1.0
5.713 0.000 0.000
0.000 5.713 0.000
0.000 0.000 4.801
Sr Li Hg Rh
2 1 1 1
Cartesian
2.856 0.000 0.000 Sr
0.000 2.856 0.000 Sr
0.000 0.000 2.401 Li
2.856 2.856 2.401 Hg
0.000 0.000 0.000 Rh

=====

Sr2LiHgRh, relaxed, DFT PBE; space-group type = P4/mmm (123); energy relative to the lowest polymorph listed for this composition = 48 meV/atom; formation enthalpy at 0 K = -0.114 eV/atom; Fermi-level density of states = 4.0 states/eV/f.u.
1.0
5.715 0.000 0.000
0.000 5.715 0.000
0.000 0.000 5.335
Hg Rh Sr Li
1 1 2 1
Cartesian
0.000 0.000 2.668 Hg
0.000 0.000 0.000 Rh
2.857 0.000 0.000 Sr
0.000 2.857 0.000 Sr
2.857 2.857 2.668 Li

=====

Sr2LiHgRh, relaxed, DFT PBE; space-group type = P4/mmm (123); energy relative to the lowest polymorph listed for this composition = 213 meV/atom; formation enthalpy at 0 K = 0.050 eV/atom; Fermi-level density of states = 3.7 states/eV/f.u.
1.0
-1.760 2.677 -4.805
-3.821 0.648 1.760
1.839 5.041 2.134
Sr Li Rh Hg
2 1 1 1
Cartesian
0.920 2.521 1.067 Sr
-0.880 1.338 -2.403 Sr
0.000 0.000 0.000 Li
-1.910 0.324 0.880 Rh
-1.871 4.183 -0.455 Hg